Below is a relaxed TbScAgSb crystal, with properties calculated at the PBE level.

Output
raw formation energy	-0.50	eV/atom
E	-4.98	eV per atom
space group	F-43m

```
TbScAgSb
1.0
0.0000 3.6108 3.6108
3.6108 0.0000 3.6108
3.6108 3.6108 0.0000
Tb Sc Ag Sb
1 1 1 1
Direct
0.0000 0.0000 0.0000 Tb
0.5000 0.5000 0.5000 Sc
0.2500 0.2500 0.2500 Ag
0.7500 0.7500 0.7500 Sb
```